VNiAs2Pd2 after structural relaxation, computed with PBE.

The total energy comes out at -73.505 eV per cell.

Cell: 3.8083 7.4429 6.2241 Å, 90.00 90.00 90.00°
Last column: nearest neighbours and their distance in Å.
Element x y z (fractional)
V  0.0000  0.0597  0.0000  5 As 2.48-2.68
V  0.0000  0.9403  0.5000  5 As 2.48-2.68
Ni  0.5000  0.1828  0.6730  4 As 2.30-2.40
Ni  0.5000  0.8172  0.1730  4 As 2.30-2.40
As  0.0000  0.3443  0.7941  2 Ni 2.37, 1 V 2.48, 4 Pd 2.48-2.54
As  0.0000  0.6557  0.2941  2 Ni 2.37, 1 V 2.48, 4 Pd 2.48-2.54
As  0.5000  0.1085  0.2983  2 Ni 2.30-2.40, 1 Pd 2.54
As  0.5000  0.8915  0.7983  2 Ni 2.30-2.40, 1 Pd 2.54
Pd  0.0000  0.3328  0.3960  4 As 2.48-2.60
Pd  0.0000  0.6672  0.8960  4 As 2.48-2.60
Pd  0.5000  0.3860  0.0602  3 As 2.54, 1 Ni 2.85
Pd  0.5000  0.6140  0.5602  3 As 2.54, 1 Ni 2.85


VNiAsPd2 after structural relaxation, computed with PBE.

The total energy comes out at -26.393 eV per cell.

Cell: 4.6333 4.6333 4.1381 Å, 90.00 90.00 90.00°
Last column: nearest neighbours and their distance in Å.
Element x y z (fractional)
V  0.0000  0.0000  0.0000  2 Ni 2.07
Ni  0.0000  0.0000  0.5000  2 V 2.07, 4 Pd 2.32
As  0.5000  0.5000  0.0000  8 Pd 3.11, 4 V 3.28
Pd  0.0000  0.5000  0.5000  2 Ni 2.32
Pd  0.5000  0.0000  0.5000  2 Ni 2.32


NiAsPdW2 after structural relaxation, computed with PBE.

The total energy comes out at -34.524 eV per cell.

Cell: 4.4654 4.4654 4.6099 Å, 90.00 90.00 90.00°
Last column: nearest neighbours and their distance in Å.
Element x y z (fractional)
Ni  0.0000  0.0000  0.0000  4 W 2.23, 2 Pd 2.30
As  0.5000  0.5000  0.5000  4 Pd 3.16, 8 W 3.21
Pd  0.0000  0.0000  0.5000  2 Ni 2.30
W  0.0000  0.5000  0.0000  2 Ni 2.23
W  0.5000  0.0000  0.0000  2 Ni 2.23


Y2Ni3As4Pd after structural relaxation, computed with PBE.

The total energy comes out at -62.068 eV per cell.

Cell: 4.2217 4.2217 9.5141 Å, 90.00 90.00 90.00°
Last column: nearest neighbours and their distance in Å.
Element x y z (fractional)
Y  0.0000  0.5000  0.2463  8 As 3.15-3.18, 7 Ni 3.21-3.45, 2 Pd 3.21
Y  0.5000  0.0000  0.7537  8 As 3.15-3.18, 7 Ni 3.21-3.45, 2 Pd 3.21
Ni  0.0000  0.5000  0.8839  5 As 2.32-2.38
Ni  0.5000  0.0000  0.1161  5 As 2.32-2.38
Ni  0.5000  0.5000  0.5000  4 As 2.50
As  0.0000  0.0000  0.0000  4 Ni 2.38
As  0.0000  0.5000  0.6400  3 Ni 2.32-2.50, 2 Pd 2.50
As  0.5000  0.0000  0.3600  3 Ni 2.32-2.50, 2 Pd 2.50
As  0.5000  0.5000  0.0000  4 Ni 2.38
Pd  0.0000  0.0000  0.5000  4 As 2.50


Y2Ni4As3Pd after structural relaxation, computed with PBE.

The total energy comes out at -62.594 eV per cell.

Cell: 4.0416 4.0416 9.9238 Å, 90.00 90.00 90.00°
Last column: nearest neighbours and their distance in Å.
Element x y z (fractional)
Y  0.0000  0.5000  0.2464  8 Ni 3.07-3.17, 6 As 3.08-3.23, 2 Pd 3.23
Y  0.5000  0.0000  0.7536  8 Ni 3.07-3.17, 6 As 3.08-3.23, 2 Pd 3.23
Ni  0.0000  0.0000  0.0000  4 As 2.40
Ni  0.0000  0.5000  0.6407  3 As 2.28-2.46, 2 Pd 2.46
Ni  0.5000  0.0000  0.3593  3 As 2.28-2.46, 2 Pd 2.46
Ni  0.5000  0.5000  0.0000  4 As 2.40
As  0.0000  0.5000  0.8701  5 Ni 2.28-2.40
As  0.5000  0.0000  0.1299  5 Ni 2.28-2.40
As  0.5000  0.5000  0.5000  4 Ni 2.46
Pd  0.0000  0.0000  0.5000  4 Ni 2.46


Pm4NiAs2 after structural relaxation, computed with PBE.

The total energy comes out at -38.388 eV per cell.

Cell: 8.6967 8.6967 8.6967 Å, 146.84 146.84 47.60°
Last column: nearest neighbours and their distance in Å.
Element x y z (fractional)
Pm  0.0000  0.5000  0.5000  2 Ni 2.48
Pm  0.1808  0.1808  0.0000  1 Ni 2.88, 1 As 2.96
Pm  0.5000  0.0000  0.5000  2 Ni 2.48
Pm  0.8192  0.8192  0.0000  1 Ni 2.88, 1 As 2.96
Ni  0.0000  0.0000  0.0000  4 Pm 2.48
As  0.3668  0.3668  0.0000  5 Pm 2.96-3.26
As  0.6332  0.6332  0.0000  5 Pm 2.96-3.26


Pm3Ni4As4 after structural relaxation, computed with PBE.

The total energy comes out at -66.378 eV per cell.

Cell: 12.3654 12.3654 12.3654 Å, 161.08 160.93 26.99°
Last column: nearest neighbours and their distance in Å.
Element x y z (fractional)
Pm  0.0000  0.0000  0.0000  4 Ni 3.09, 8 As 3.17
Pm  0.3481  0.8481  0.5000  6 As 3.07-3.10, 8 Ni 3.11-3.18
Pm  0.6519  0.1519  0.5000  6 As 3.07-3.10, 8 Ni 3.11-3.18
Ni  0.0966  0.5966  0.5000  3 As 2.28-2.37
Ni  0.2500  0.2500  0.0000  4 As 2.42-2.43
Ni  0.7500  0.7500  0.0000  4 As 2.42-2.43
Ni  0.9034  0.4034  0.5000  3 As 2.28-2.37
As  0.1954  0.6954  0.5000  5 Ni 2.37-2.43
As  0.4452  0.4452  0.0000  2 Ni 2.28
As  0.5548  0.5548  0.0000  2 Ni 2.28
As  0.8046  0.3046  0.5000  5 Ni 2.37-2.43


PmNi12As6 after structural relaxation, computed with PBE.

The total energy comes out at -106.873 eV per cell.

Cell: 6.7225 6.7225 6.7225 Å, 104.69 104.69 104.69°
Last column: nearest neighbours and their distance in Å.
Element x y z (fractional)
Pm  0.0000  0.0000  0.0000  6 Ni 3.21, 6 As 3.46
Ni  0.1224  0.5000  0.8776  4 As 2.31
Ni  0.1224  0.8776  0.5000  4 As 2.31
Ni  0.1718  0.4283  0.4283  3 As 2.41-2.42
Ni  0.4283  0.1718  0.4283  3 As 2.41-2.42
Ni  0.4283  0.4283  0.1718  3 As 2.41-2.42
Ni  0.5000  0.1224  0.8776  4 As 2.31
Ni  0.5000  0.8776  0.1224  4 As 2.31
Ni  0.5717  0.5717  0.8282  3 As 2.41-2.42
Ni  0.5717  0.8282  0.5717  3 As 2.41-2.42
Ni  0.8282  0.5717  0.5717  3 As 2.41-2.42
Ni  0.8776  0.1224  0.5000  4 As 2.31
Ni  0.8776  0.5000  0.1224  4 As 2.31
As  0.2488  0.2488  0.6918  7 Ni 2.31-2.42
As  0.2488  0.6918  0.2488  7 Ni 2.31-2.42
As  0.3082  0.7512  0.7512  7 Ni 2.31-2.42
As  0.6918  0.2488  0.2488  7 Ni 2.31-2.42
As  0.7512  0.3082  0.7512  7 Ni 2.31-2.42
As  0.7512  0.7512  0.3082  7 Ni 2.31-2.42


Pm2Ni5As4 after structural relaxation, computed with PBE.

The total energy comes out at -63.744 eV per cell.

Cell: 8.3946 7.3846 5.5800 Å, 79.37 59.84 40.79°
Last column: nearest neighbours and their distance in Å.
Element x y z (fractional)
Pm  0.1418  0.1418  0.8582  8 As 3.14-3.47, 10 Ni 3.16-3.40
Pm  0.8582  0.8582  0.1418  8 As 3.14-3.47, 10 Ni 3.16-3.40
Ni  0.0000  0.0000  0.5000  4 As 2.43
Ni  0.2500  0.2500  0.2500  4 As 2.34
Ni  0.5000  0.5000  0.0000  4 As 2.43
Ni  0.5000  0.5000  0.5000  4 As 2.33
Ni  0.7500  0.7500  0.7500  4 As 2.34
As  0.2152  0.5252  0.4748  5 Ni 2.33-2.43
As  0.4748  0.7848  0.2152  5 Ni 2.33-2.43
As  0.5252  0.2152  0.7848  5 Ni 2.33-2.43
As  0.7848  0.4748  0.5252  5 Ni 2.33-2.43


PmNiAs2 after structural relaxation, computed with PBE.

The total energy comes out at -22.435 eV per cell.

Cell: 5.6308 5.6308 5.6308 Å, 43.69 43.69 43.69°
Last column: nearest neighbours and their distance in Å.
Element x y z (fractional)
Pm  0.0000  0.0000  0.0000  8 As 3.00-3.31
Ni  0.5000  0.5000  0.5000  6 As 2.54
As  0.2171  0.2171  0.2171  3 Ni 2.54
As  0.7829  0.7829  0.7829  3 Ni 2.54


PmNi3As3 after structural relaxation, computed with PBE.

The total energy comes out at -79.607 eV per cell.

Cell: 8.1813 8.1813 4.1696 Å, 90.00 90.00 120.00°
Last column: nearest neighbours and their distance in Å.
Element x y z (fractional)
Pm  0.3333  0.6667  0.2500  9 As 3.08-3.23, 3 Ni 3.23
Pm  0.6667  0.3333  0.7500  9 As 3.08-3.23, 3 Ni 3.23
Ni  0.0514  0.2161  0.2500  4 As 2.37-2.45, 4 Ni 2.63
Ni  0.1646  0.9486  0.2500  4 As 2.37-2.45, 4 Ni 2.63
Ni  0.2161  0.1646  0.7500  4 As 2.37-2.45, 4 Ni 2.63
Ni  0.7839  0.8354  0.2500  4 As 2.37-2.45, 4 Ni 2.63
Ni  0.8354  0.0514  0.7500  4 As 2.37-2.45, 4 Ni 2.63
Ni  0.9486  0.7839  0.7500  4 As 2.37-2.45, 4 Ni 2.63
As  0.0785  0.3712  0.7500  4 Ni 2.37-2.45
As  0.2927  0.9215  0.7500  4 Ni 2.37-2.45
As  0.3712  0.2927  0.2500  4 Ni 2.37-2.45
As  0.6288  0.7073  0.7500  4 Ni 2.37-2.45
As  0.7073  0.0785  0.2500  4 Ni 2.37-2.45
As  0.9215  0.6288  0.2500  4 Ni 2.37-2.45


PmNiAs2 after structural relaxation, computed with PBE.

The total energy comes out at -46.645 eV per cell.

Cell: 10.0437 4.0285 10.0439 Å, 78.43 23.14 78.43°
Last column: nearest neighbours and their distance in Å.
Element x y z (fractional)
Pm  0.1200  0.8800  0.1200  8 As 3.07-3.10, 4 Ni 3.21
Pm  0.8800  0.1200  0.8800  8 As 3.07-3.10, 4 Ni 3.21
Ni  0.2502  0.2502  0.2498  4 As 2.39
Ni  0.7502  0.7502  0.7498  4 As 2.39
As  0.3165  0.6836  0.3164  4 Ni 2.39
As  0.5001  0.9984  0.4999  4 As 2.84-2.86, 4 Pm 3.07
As  0.6836  0.3165  0.6835  4 Ni 2.39
As  0.9984  0.5001  0.0016  4 As 2.84-2.86, 4 Pm 3.07


Pm3Ni6As5 after structural relaxation, computed with PBE.

The total energy comes out at -167.435 eV per cell.

Cell: 3.9989 12.0964 9.7115 Å, 90.00 90.00 90.00°
Last column: nearest neighbours and their distance in Å.
Element x y z (fractional)
Pm  0.2500  0.0864  0.2474  7 Ni 3.04-3.20, 6 As 3.05-3.07
Pm  0.2500  0.4136  0.2474  7 Ni 3.04-3.20, 6 As 3.05-3.07
Pm  0.2500  0.7500  0.2520  6 As 3.03-3.04, 10 Ni 3.08-3.27
Pm  0.7500  0.2500  0.7480  6 As 3.03-3.04, 10 Ni 3.08-3.27
Pm  0.7500  0.5864  0.7526  7 Ni 3.04-3.20, 6 As 3.05-3.07
Pm  0.7500  0.9136  0.7526  7 Ni 3.04-3.20, 6 As 3.05-3.07
Ni  0.2500  0.0683  0.8888  4 As 2.41-2.45, 1 Ni 2.47
Ni  0.2500  0.2500  0.0055  2 Ni 2.47, 4 As 2.56
Ni  0.2500  0.2500  0.5066  4 As 2.38-2.43
Ni  0.2500  0.4317  0.8888  4 As 2.41-2.45, 1 Ni 2.47
Ni  0.2500  0.5794  0.4959  4 As 2.40-2.42
Ni  0.2500  0.9206  0.4959  4 As 2.40-2.42
Ni  0.7500  0.0794  0.5041  4 As 2.40-2.42
Ni  0.7500  0.4206  0.5041  4 As 2.40-2.42
Ni  0.7500  0.5683  0.1112  4 As 2.41-2.45, 1 Ni 2.47
Ni  0.7500  0.7500  0.4934  4 As 2.38-2.43
Ni  0.7500  0.7500  0.9945  2 Ni 2.47, 4 As 2.56
Ni  0.7500  0.9317  0.1112  4 As 2.41-2.45, 1 Ni 2.47
As  0.2500  0.0813  0.6417  5 Ni 2.40-2.43
As  0.2500  0.4187  0.6417  5 Ni 2.40-2.43
As  0.2500  0.6181  0.9871  5 Ni 2.41-2.56
As  0.2500  0.7500  0.6264  4 Ni 2.38-2.42
As  0.2500  0.8819  0.9871  5 Ni 2.41-2.56
As  0.7500  0.1181  0.0129  5 Ni 2.41-2.56
As  0.7500  0.2500  0.3736  4 Ni 2.38-2.42
As  0.7500  0.3819  0.0129  5 Ni 2.41-2.56
As  0.7500  0.5813  0.3583  5 Ni 2.40-2.43
As  0.7500  0.9187  0.3583  5 Ni 2.40-2.43


Pm2NiAs after structural relaxation, computed with PBE.

The total energy comes out at -22.314 eV per cell.

Cell: 5.0486 5.0486 5.0486 Å, 60.00 60.00 60.00°
Last column: nearest neighbours and their distance in Å.
Element x y z (fractional)
Pm  0.2500  0.2500  0.2500  4 As 3.09, 4 Ni 3.09
Pm  0.7500  0.7500  0.7500  4 As 3.09, 4 Ni 3.09
Ni  0.0000  0.0000  0.0000  8 Pm 3.09
As  0.5000  0.5000  0.5000  8 Pm 3.09


Pm2Ni5As3 after structural relaxation, computed with PBE.

The total energy comes out at -118.940 eV per cell.

Cell: 8.0608 8.0608 5.8581 Å, 111.28 111.28 91.86°
Last column: nearest neighbours and their distance in Å.
Element x y z (fractional)
Pm  0.1167  0.3740  0.2457  6 As 3.07-3.14, 10 Ni 3.09-3.21
Pm  0.3740  0.1167  0.7457  6 As 3.07-3.14, 10 Ni 3.09-3.21
Pm  0.6260  0.8833  0.2543  6 As 3.07-3.14, 10 Ni 3.09-3.21
Pm  0.8833  0.6260  0.7543  6 As 3.07-3.14, 10 Ni 3.09-3.21
Ni  0.0039  0.7567  0.3806  3 As 2.33-2.35, 2 Ni 2.49
Ni  0.2433  0.9961  0.1194  3 As 2.33-2.35, 2 Ni 2.49
Ni  0.2663  0.7337  0.2500  2 As 2.35, 2 Ni 2.49
Ni  0.2666  0.7334  0.7500  2 As 2.35, 2 Ni 2.49
Ni  0.5000  0.5000  0.2500  4 As 2.42, 1 Ni 2.70
Ni  0.5000  0.5000  0.7500  4 As 2.42, 1 Ni 2.70
Ni  0.7334  0.2666  0.2500  2 As 2.35, 2 Ni 2.49
Ni  0.7337  0.2663  0.7500  2 As 2.35, 2 Ni 2.49
Ni  0.7567  0.0039  0.8806  3 As 2.33-2.35, 2 Ni 2.49
Ni  0.9961  0.2433  0.6194  3 As 2.33-2.35, 2 Ni 2.49
As  0.0001  0.9999  0.2500  4 Ni 2.35
As  0.9999  0.0001  0.7500  4 Ni 2.35
As  0.2420  0.4854  0.8639  5 Ni 2.33-2.42
As  0.4854  0.2420  0.3639  5 Ni 2.33-2.42
As  0.5146  0.7580  0.6361  5 Ni 2.33-2.42
As  0.7580  0.5146  0.1361  5 Ni 2.33-2.42


Pm2Ni2As3 after structural relaxation, computed with PBE.

The total energy comes out at -81.812 eV per cell.

Cell: 10.0079 10.0079 6.7679 Å, 90.00 90.00 156.23°
Last column: nearest neighbours and their distance in Å.
Element x y z (fractional)
Pm  0.0361  0.9639  0.7500  4 As 2.93
Pm  0.1581  0.8419  0.2500  6 As 2.95-3.12, 6 Ni 2.99-3.05
Pm  0.8419  0.1581  0.7500  6 As 2.95-3.12, 6 Ni 2.99-3.05
Pm  0.9639  0.0361  0.2500  4 As 2.93
Ni  0.2943  0.7057  0.0520  4 As 2.43-2.48, 1 Ni 2.68
Ni  0.2943  0.7057  0.4480  4 As 2.43-2.48, 1 Ni 2.68
Ni  0.7057  0.2943  0.5520  4 As 2.43-2.48, 1 Ni 2.68
Ni  0.7057  0.2943  0.9480  4 As 2.43-2.48, 1 Ni 2.68
As  0.2223  0.7777  0.7500  6 Ni 2.48
As  0.4158  0.5842  0.5240  1 Ni 2.43
As  0.4158  0.5842  0.9760  1 Ni 2.43
As  0.5842  0.4158  0.0240  1 Ni 2.43
As  0.5842  0.4158  0.4760  1 Ni 2.43
As  0.7777  0.2223  0.2500  6 Ni 2.48


PmNi3As3 after structural relaxation, computed with PBE.

The total energy comes out at -77.766 eV per cell.

Cell: 6.4187 6.4187 6.4187 Å, 90.00 90.00 90.00°
Last column: nearest neighbours and their distance in Å.
Element x y z (fractional)
Pm  0.0000  0.0000  0.0000  12 As 3.59, 12 Ni 3.59
Pm  0.5000  0.5000  0.5000  12 As 3.59, 12 Ni 3.59
Ni  0.0000  0.2500  0.5000  4 As 2.27
Ni  0.0000  0.7500  0.5000  4 As 2.27
Ni  0.2500  0.5000  0.0000  4 As 2.27
Ni  0.5000  0.0000  0.2500  4 As 2.27
Ni  0.5000  0.0000  0.7500  4 As 2.27
Ni  0.7500  0.5000  0.0000  4 As 2.27
As  0.0000  0.5000  0.2500  4 Ni 2.27
As  0.0000  0.5000  0.7500  4 Ni 2.27
As  0.2500  0.0000  0.5000  4 Ni 2.27
As  0.5000  0.2500  0.0000  4 Ni 2.27
As  0.5000  0.7500  0.0000  4 Ni 2.27
As  0.7500  0.0000  0.5000  4 Ni 2.27


PmNi2As after structural relaxation, computed with PBE.

The total energy comes out at -22.038 eV per cell.

Cell: 4.2032 4.2032 3.8452 Å, 90.00 90.00 90.00°
Last column: nearest neighbours and their distance in Å.
Element x y z (fractional)
Pm  0.0000  0.0000  0.0000  8 Ni 2.85, 4 As 2.97
Ni  0.0000  0.5000  0.5000  4 As 2.85, 4 Pm 2.85, 4 Ni 2.97
Ni  0.5000  0.0000  0.5000  4 As 2.85, 4 Pm 2.85, 4 Ni 2.97
As  0.5000  0.5000  0.0000  8 Ni 2.85, 4 Pm 2.97


Pm2NiAs after structural relaxation, computed with PBE.

The total energy comes out at -22.822 eV per cell.

Cell: 7.2799 7.2799 7.2799 Å, 32.92 32.92 32.92°
Last column: nearest neighbours and their distance in Å.
Element x y z (fractional)
Pm  0.2473  0.2473  0.2473  3 Ni 2.91, 3 As 2.97
Pm  0.7527  0.7527  0.7527  3 Ni 2.91, 3 As 2.97
Ni  0.5000  0.5000  0.5000  6 Pm 2.91
As  0.0000  0.0000  0.0000  6 Pm 2.97


Pm2NiAs after structural relaxation, computed with PBE.

The total energy comes out at -22.534 eV per cell.

Cell: 3.6277 3.6277 6.9459 Å, 90.00 90.00 90.00°
Last column: nearest neighbours and their distance in Å.
Element x y z (fractional)
Pm  0.0000  0.0000  0.2479  4 Ni 3.09, 4 As 3.11, 1 Pm 3.44
Pm  0.0000  0.0000  0.7521  4 Ni 3.09, 4 As 3.11, 1 Pm 3.44
Ni  0.5000  0.5000  0.0000  8 Pm 3.09
As  0.5000  0.5000  0.5000  8 Pm 3.11, 2 Ni 3.47


ΔH_f (0 K) in eV per formula unit, matching the order above: -2.2 3.5 7.0 -8.0 -7.4 -4.3 -10.4 -4.8 -6.7 -2.6 -3.8 -3.5 -11.5 -2.4 -7.1 -5.9 -2.8 -1.1 -2.9 -2.6